1.
A crystal of Sr3CdSn relaxed with PBEsol, computed with meta-GGA SCAN.

total energy	-133.22	eV for the cell shown
DFT formation energy	-0.28	kcal/mol of atoms

Lattice parameters (Å, degrees): 6.0041 6.0041 6.0041 90.00 90.00 90.00
Last column: nearest neighbours and their distance in Å.
Fractional coordinates of all 5 atoms:
Sr1 0.0000 0.0000 0.5000  2 Cd 3.00
Sr2 0.0000 0.5000 0.0000  2 Cd 3.00
Sr3 0.5000 0.0000 0.0000  2 Cd 3.00
Cd1 0.0000 0.0000 0.0000  6 Sr 3.00
Sn1 0.5000 0.5000 0.5000  12 Sr 4.25

=====

2.
A crystal of BeRe2Sb relaxed with PBEsol, computed with meta-GGA SCAN.

ΔE to the lowest computed polymorph	282	meV/atom
total energy	-180.86	eV for the cell shown

Lattice parameters (Å, degrees): 3.0442 3.0442 7.9711 90.00 90.00 90.00
Last column: nearest neighbours and their distance in Å.
Fractional coordinates of all 4 atoms:
Be1 0.0000 0.0000 0.0000  1 Re 2.32
Re1 0.0000 0.0000 0.2909  1 Be 2.32, 4 Re 2.51
Re2 0.5000 0.5000 0.4516  4 Re 2.51, 1 Sb 2.71
Sb1 0.5000 0.5000 0.7914  1 Re 2.71, 4 Be 2.72

=====

3.
A crystal of CrNi2 relaxed with PBEsol, computed with meta-GGA SCAN.

total energy	-50.66	eV for the cell shown
DFT formation energy	0.51	kcal/mol of atoms

Lattice parameters (Å, degrees): 4.2361 4.2361 4.2361 146.58 130.84 60.75
Last column: nearest neighbours and their distance in Å.
Fractional coordinates of all 3 atoms:
Cr1 0.0000 0.0000 0.0000  2 Cr 2.44, 10 Ni 2.44-2.46
Ni1 0.3337 0.3337 0.0000  7 Ni 2.43-2.47, 5 Cr 2.44-2.46
Ni2 0.6663 0.6663 0.0000  7 Ni 2.43-2.47, 5 Cr 2.44-2.46

=====

4.
A crystal of SmFe2Co2B relaxed with PBEsol, computed with meta-GGA SCAN.

total energy	-247.93	eV for the cell shown
DFT formation energy	-4.71	kcal/mol of atoms

Lattice parameters (Å, degrees): 5.0228 5.0228 6.7792 90.00 90.00 120.40
Last column: nearest neighbours and their distance in Å.
Fractional coordinates of all 12 atoms:
Sm1 0.0000 0.0000 0.0000  8 Co 2.87-2.91, 6 B 2.88-2.92, 4 Fe 2.92
Sm2 0.0000 0.0000 0.4914  10 Fe 2.89-3.18, 8 Co 3.15-3.18
Fe1 0.0000 0.5000 0.7795  2 B 2.07
Fe2 0.3313 0.6687 0.4909  4 Co 2.41-2.45, 2 Fe 2.43
Fe3 0.5000 0.0000 0.7795  2 B 2.07
Fe4 0.6687 0.3313 0.4909  4 Co 2.41-2.45, 2 Fe 2.43
Co1 0.0000 0.5000 0.2044  2 B 2.03
Co2 0.5000 0.0000 0.2044  2 B 2.03
Co3 0.5000 0.5000 0.2075  2 B 2.03
Co4 0.5000 0.5000 0.7792  2 B 2.05
B1 0.3354 0.6646 0.9959  4 Co 2.03-2.05, 2 Fe 2.07
B2 0.6646 0.3354 0.9959  4 Co 2.03-2.05, 2 Fe 2.07

=====

5.
A crystal of Zr2CuSb relaxed with PBEsol, computed with meta-GGA SCAN.

total energy	-114.84	eV for the cell shown

Lattice parameters (Å, degrees): 3.1417 3.1417 7.8100 90.00 90.00 90.00
Last column: nearest neighbours and their distance in Å.
Fractional coordinates of all 4 atoms:
Zr1 0.0000 0.0000 0.2192  4 Cu 2.80, 4 Sb 3.12
Zr2 0.0000 0.0000 0.7808  4 Cu 2.80, 4 Sb 3.12
Cu1 0.5000 0.5000 0.0000  8 Zr 2.80
Sb1 0.5000 0.5000 0.5000  8 Zr 3.12, 4 Sb 3.14

=====

6.
A crystal of Mg3Zn2Cu7 relaxed with PBEsol, computed with meta-GGA SCAN.

total energy	-150.03	eV for the cell shown
DFT formation energy	-3.23	kcal/mol of atoms

Lattice parameters (Å, degrees): 8.4251 8.4251 8.4251 34.04 34.04 34.04
Last column: nearest neighbours and their distance in Å.
Fractional coordinates of all 12 atoms:
Mg1 0.0000 0.0000 0.0000  6 Zn 2.85
Mg2 0.1426 0.1426 0.1426  12 Cu 2.82-2.90, 3 Mg 3.07
Mg3 0.8574 0.8574 0.8574  12 Cu 2.82-2.90, 3 Mg 3.07
Zn1 0.3334 0.3334 0.3334  6 Cu 2.47-2.48
Zn2 0.6666 0.6666 0.6666  6 Cu 2.47-2.48
Cu1 0.0817 0.5867 0.5867  5 Cu 2.42-2.49, 2 Zn 2.47-2.48
Cu2 0.4133 0.4133 0.9183  5 Cu 2.42-2.49, 2 Zn 2.47-2.48
Cu3 0.4133 0.9183 0.4133  5 Cu 2.42-2.49, 2 Zn 2.47-2.48
Cu4 0.5000 0.5000 0.5000  6 Cu 2.42
Cu5 0.5867 0.0817 0.5867  5 Cu 2.42-2.49, 2 Zn 2.47-2.48
Cu6 0.5867 0.5867 0.0817  5 Cu 2.42-2.49, 2 Zn 2.47-2.48
Cu7 0.9183 0.4133 0.4133  5 Cu 2.42-2.49, 2 Zn 2.47-2.48

=====

7.
A crystal of ScCdPb2 relaxed with PBEsol, computed with meta-GGA SCAN.

total energy	-196.73	eV for the cell shown
DFT formation energy	-2.98	kcal/mol of atoms

Lattice parameters (Å, degrees): 3.3439 3.3439 9.0276 90.00 90.00 90.00
Last column: nearest neighbours and their distance in Å.
Fractional coordinates of all 4 atoms:
Sc1 0.0000 0.0000 0.0000  8 Pb 3.20, 4 Sc 3.34
Cd1 0.0000 0.0000 0.5000  8 Pb 3.34, 4 Cd 3.34
Pb1 0.5000 0.5000 0.2392  4 Sc 3.20, 4 Cd 3.34, 4 Pb 3.34
Pb2 0.5000 0.5000 0.7608  4 Sc 3.20, 4 Cd 3.34, 4 Pb 3.34

=====

8.
A crystal of InGe3Au relaxed with PBEsol, computed with meta-GGA SCAN.

total energy	-157.03	eV for the cell shown
DFT formation energy	12.81	kcal/mol of atoms

Lattice parameters (Å, degrees): 4.9976 4.9976 4.9976 90.00 90.00 90.00
Last column: nearest neighbours and their distance in Å.
Fractional coordinates of all 5 atoms:
In1 0.0000 0.0000 0.0000  12 Ge 3.53
Ge1 0.0000 0.5000 0.5000  2 Au 2.50
Ge2 0.5000 0.0000 0.5000  2 Au 2.50
Ge3 0.5000 0.5000 0.0000  2 Au 2.50
Au1 0.5000 0.5000 0.5000  6 Ge 2.50